Entry 1:
# Ac2ThAu

A geometry-optimized Ac2ThAu structure (PBE-GGA, the Alexandria database).

DFT total energy = -18.598 eV per cell
space-group type = R-3m (166)
energy of formation = 0.0791 eV per atom
energy above the most stable polymorph in this dataset = 147 kJ/mol of formula units

POSCAR file:
```
Ac2ThAu
1.0
-2.254 -2.761 1.132
0.137 -1.191 3.542
-9.037 6.724 4.584
Ac Th Au
2 1 1
direct
0.900 0.900 0.301 Ac
0.100 0.100 0.699 Ac
0.000 0.000 0.000 Th
0.500 0.500 0.500 Au
```

---

Entry 2:
# Ac4ThAu5

A geometry-optimized Ac4ThAu5 structure (PBE-GGA, the Alexandria database).

DFT total energy = -47.427 eV per cell
space-group type = P4/mmm (123)
energy of formation = -0.7187 eV per atom

POSCAR file:
```
Ac4ThAu5
1.0
-3.329 1.196 -1.579
-1.699 -0.137 3.478
5.086 18.395 3.207
Ac Au Th
4 5 1
direct
0.000 0.000 0.398 Ac
0.000 0.000 0.602 Ac
0.000 0.000 0.806 Ac
0.000 0.000 0.194 Ac
0.500 0.500 0.703 Au
0.500 0.500 0.297 Au
0.500 0.500 0.086 Au
0.500 0.500 0.914 Au
0.500 0.500 0.500 Au
0.000 0.000 0.000 Th
```

---

Entry 3:
# Ac2ThAu

A geometry-optimized Ac2ThAu structure (PBE-GGA, the Alexandria database).

DFT total energy = -20.117 eV per cell
space-group type = P4/mmm (123)
energy of formation = -0.3006 eV per atom
energy above the most stable polymorph in this dataset = 0 kJ/mol of formula units

POSCAR file:
```
Ac2ThAu
1.0
-0.701 -3.110 -2.159
3.679 -1.078 0.357
-2.115 -4.734 7.507
Th Au Ac
1 1 2
direct
0.500 0.500 0.500 Th
0.500 0.500 0.000 Au
0.000 0.000 0.217 Ac
0.000 0.000 0.783 Ac
```

---

Entry 4:
# AcTh2Au

A geometry-optimized AcTh2Au structure (PBE-GGA, the Alexandria database).

DFT total energy = -20.879 eV per cell
space-group type = R-3m (166)
energy of formation = 0.3366 eV per atom
energy above the most stable polymorph in this dataset = 212 kJ/mol of formula units

POSCAR file:
```
AcTh2Au
1.0
-2.141 0.012 -2.923
1.200 -1.377 -3.130
-4.582 -11.186 1.066
Th Ac Au
2 1 1
direct
0.081 0.081 0.757 Th
0.919 0.919 0.243 Th
0.500 0.500 0.500 Ac
0.000 0.000 0.000 Au
```

---

Entry 5:
# AcThAu3

A geometry-optimized AcThAu3 structure (PBE-GGA, the Alexandria database).

DFT total energy = -50.294 eV per cell
space-group type = Cmcm (63)
energy of formation = -0.7574 eV per atom

POSCAR file:
```
AcThAu3
1.0
3.888 0.000 -0.535
0.000 4.730 0.000
0.017 0.000 14.515
Au Ac Th
6 2 2
direct
0.686 0.250 0.373 Au
0.314 0.750 0.627 Au
0.623 0.750 0.246 Au
0.526 0.750 0.051 Au
0.377 0.250 0.754 Au
0.474 0.250 0.949 Au
0.927 0.750 0.854 Ac
0.073 0.250 0.146 Ac
0.205 0.750 0.410 Th
0.795 0.250 0.590 Th
```

---

Entry 6:
# AcThAu

A geometry-optimized AcThAu structure (PBE-GGA, the Alexandria database).

DFT total energy = -30.286 eV per cell
space-group type = Cmmm (65)
energy of formation = -0.1125 eV per atom
energy above the most stable polymorph in this dataset = 77 kJ/mol of formula units

POSCAR file:
```
AcThAu
1.0
-3.371 1.072 -2.818
2.724 -4.506 -4.974
-3.497 -6.058 1.879
Th Ac Au
2 2 2
direct
0.500 0.199 0.801 Th
0.500 0.801 0.199 Th
0.000 0.291 0.291 Ac
0.000 0.709 0.709 Ac
0.000 0.000 0.000 Au
0.500 0.500 0.500 Au
```